Material: BaTe2PbN
Method: DFT, PBE
State: optimized geometry

E above lowest polymorph	2.90	eV per formula unit
uncorrected formation energy	0.6387	eV per atom
space group	P4/mmm, No. 123

```
data_BaTe2PbN
_symmetry_space_group_name_H-M 'P 1'
_symmetry_Int_Tables_number 1
_cell_length_a 6.520
_cell_length_b 6.520
_cell_length_c 5.102
_cell_angle_alpha 90.00
_cell_angle_beta 90.00
_cell_angle_gamma 90.00
loop_
_symmetry_equiv_pos_as_xyz
'x,y,z'
loop_
_atom_site_label
_atom_site_fract_x
_atom_site_fract_y
_atom_site_fract_z
_atom_site_occupancy
N1 0.000 0.000 0.500 1
Te1 0.000 0.500 0.000 1
Te2 0.500 0.000 0.000 1
Pb1 0.500 0.500 0.500 1
Ba1 0.000 0.000 0.000 1
```